1.
{
  "formula": "Cs2TaZnF6",
  "functional": "PBE",
  "state": "optimized geometry",
  "space_group": "I4/mmm (139)",
  "final_energy_ev_per_atom": -5.1554,
  "volume_a3_per_fu": 241.9,
  "lattice_angstrom": [[-3.4868, 3.4868, 4.9751], [3.4868, -3.4868, 4.9751], [3.4868, 3.4868, -4.9751]],
  "species": ["Cs", "Cs", "Ta", "Zn", "F", "F", "F", "F", "F", "F"],
  "frac_coords": [[0.2500, 0.7500, 0.5000], [0.7500, 0.2500, 0.5000], [0.0000, 0.0000, 0.0000], [0.5000, 0.5000, 0.0000], [0.2019, 0.2019, 0.4038], [0.2019, 0.7981, 0.0000], [0.2036, 0.2036, 0.0000], [0.7964, 0.7964, 0.0000], [0.7981, 0.2019, 0.0000], [0.7981, 0.7981, 0.5962]]
}

---

2.
{
  "formula": "PmPuCdSb",
  "functional": "PBE",
  "state": "optimized geometry",
  "space_group": "F-43m (216)",
  "final_energy_ev_per_atom": -6.4425,
  "volume_a3_per_fu": 110.5,
  "lattice_angstrom": [[0.0000, 3.8086, 3.8086], [3.8086, 0.0000, 3.8086], [3.8086, 3.8086, 0.0000]],
  "species": ["Pm", "Pu", "Cd", "Sb"],
  "frac_coords": [[0.0000, 0.0000, 0.0000], [0.5000, 0.5000, 0.5000], [0.2500, 0.2500, 0.2500], [0.7500, 0.7500, 0.7500]]
}

---

3.
{
  "formula": "YTmSiGe",
  "functional": "PBE",
  "state": "optimized geometry",
  "space_group": "Amm2 (38)",
  "final_energy_ev_per_atom": -6.0821,
  "volume_a3_per_fu": 87.2,
  "lattice_angstrom": [[3.8846, 0.0000, 0.0000], [0.0000, 2.1259, 5.2821], [0.0000, -2.1259, 5.2821]],
  "species": ["Y", "Tm", "Si", "Ge"],
  "frac_coords": [[0.0000, 0.0000, 0.0000], [0.5000, 0.7212, 0.7212], [0.0000, 0.2772, 0.2772], [0.5000, 0.4403, 0.4403]]
}

---

4.
{
  "formula": "Ba2ThAuSe5",
  "functional": "PBE",
  "state": "optimized geometry",
  "space_group": "Cmc2_1 (36)",
  "final_energy_ev_per_atom": -5.0464,
  "volume_a3_per_fu": 276.9,
  "lattice_angstrom": [[2.1568, -9.5673, 0.0000], [2.1568, 9.5673, 0.0000], [0.0000, 0.0000, 13.4168]],
  "species": ["Ba", "Ba", "Ba", "Ba", "Th", "Th", "Au", "Au", "Se", "Se", "Se", "Se", "Se", "Se", "Se", "Se", "Se", "Se"],
  "frac_coords": [[0.1214, 0.8786, 0.5000], [0.1216, 0.8784, 0.1421], [0.8784, 0.1216, 0.6421], [0.8786, 0.1214, 0.0000], [0.1943, 0.8057, 0.8238], [0.8057, 0.1943, 0.3238], [0.4557, 0.5443, 0.2468], [0.5443, 0.4557, 0.7468], [0.0376, 0.9624, 0.8500], [0.3016, 0.6984, 0.4712], [0.3032, 0.6968, 0.1747], [0.3440, 0.6560, 0.8219], [0.4988, 0.5012, 0.5701], [0.5012, 0.4988, 0.0701], [0.6560, 0.3440, 0.3219], [0.6968, 0.3032, 0.6747], [0.6984, 0.3016, 0.9712], [0.9624, 0.0376, 0.3500]]
}